[1]
A plane-wave DFT calculation with PBE was carried out for a relaxed structure of Cs8RbHg4.

Values from the calculation:
For the total energy, the calculation gives -0.830 eV/atom. The formation energy comes out at -0.1373 eV/atom. The density comes out at 3.23 g/cm³.

Geometry as CIF:
```
data_Cs8RbHg4
_chemical_formula_sum 'Cs8 Rb1 Hg4'
_cell_length_a 5.4488
_cell_length_b 13.8414
_cell_length_c 13.8415
_cell_angle_alpha 87.78
_cell_angle_beta 78.65
_cell_angle_gamma 78.65
_symmetry_space_group_name_H-M 'P 1'
_symmetry_Int_Tables_number 1
loop_
_symmetry_equiv_pos_as_xyz
'x,y,z'
loop_
_atom_site_label
_atom_site_fract_x
_atom_site_fract_y
_atom_site_fract_z
Rb1 0.0000 0.0000 0.0000
Cs1 0.6759 0.9253 0.7229
Cs2 0.3241 0.0747 0.2771
Cs3 0.3258 0.5921 0.7562
Cs4 0.6742 0.4079 0.2438
Cs5 0.3988 0.2771 0.9253
Cs6 0.6012 0.7229 0.0747
Cs7 0.9180 0.7562 0.4079
Cs8 0.0820 0.2438 0.5921
Hg1 0.7337 0.0554 0.4771
Hg2 0.2663 0.9446 0.5229
Hg3 0.2109 0.5229 0.0554
Hg4 0.7891 0.4771 0.9446
```


[2]
A plane-wave DFT calculation with PBE was carried out for a relaxed structure of Ni7GeTe2H2.

Values from the calculation:
For the total energy, the calculation gives -4.966 eV/atom. The density comes out at 8.71 g/cm³.

Geometry as CIF:
```
data_Ni7GeTe2H2
_chemical_formula_sum 'Ni7 Ge1 Te2 H2'
_cell_length_a 3.7490
_cell_length_b 3.7490
_cell_length_c 10.3882
_cell_angle_alpha 79.66
_cell_angle_beta 79.66
_cell_angle_gamma 90.16
_symmetry_space_group_name_H-M 'P 1'
_symmetry_Int_Tables_number 1
loop_
_symmetry_equiv_pos_as_xyz
'x,y,z'
loop_
_atom_site_label
_atom_site_fract_x
_atom_site_fract_y
_atom_site_fract_z
Ni1 0.4148 0.9146 0.1710
Ni2 0.0854 0.5852 0.8290
Ni3 0.3241 0.3241 0.3508
Ni4 0.5852 0.0854 0.8290
Ni5 0.9146 0.4148 0.1710
Ni6 0.6759 0.6759 0.6492
Ni7 0.5000 0.5000 0.0000
H1 0.5867 0.5867 0.8263
H2 0.4133 0.4133 0.1737
Ge1 0.0000 0.0000 0.0000
Te1 0.8094 0.8094 0.3808
Te2 0.1906 0.1906 0.6192
```


[3]
A plane-wave DFT calculation with PBE was carried out for a relaxed structure of HgP2O2.

Values from the calculation:
For the total energy, the calculation gives -3.574 eV/atom. For the relative energy among the computed polymorphs, the calculation gives 999 meV/atom. The value obtained for the energy relative to the elements, uncorrected is 0.634 eV per atom. The density comes out at 5.89 g/cm³.

Geometry as CIF:
```
data_HgP2O2
_chemical_formula_sum 'Hg1 P2 O2'
_cell_length_a 3.7130
_cell_length_b 3.7130
_cell_length_c 6.0257
_cell_angle_alpha 90.00
_cell_angle_beta 90.00
_cell_angle_gamma 90.00
_symmetry_space_group_name_H-M 'P 1'
_symmetry_Int_Tables_number 1
loop_
_symmetry_equiv_pos_as_xyz
'x,y,z'
loop_
_atom_site_label
_atom_site_fract_x
_atom_site_fract_y
_atom_site_fract_z
O1 0.0000 0.0000 0.5000
O2 0.0000 0.0000 0.0000
Hg1 0.5000 0.5000 0.5000
P1 0.5000 0.0000 0.0000
P2 0.0000 0.5000 0.0000
```


[4]
A plane-wave DFT calculation with PBE was carried out for a relaxed structure of PmAs2Ru.

Values from the calculation:
For the total energy, the calculation gives -6.214 eV/atom. For the relative energy among the computed polymorphs, the calculation gives 472 meV/atom. The formation energy comes out at -0.3824 eV/atom. The density comes out at 8.59 g/cm³.

Geometry as CIF:
```
data_PmAs2Ru
_chemical_formula_sum 'Pm1 As2 Ru1'
_cell_length_a 4.7656
_cell_length_b 4.7656
_cell_length_c 4.7656
_cell_angle_alpha 60.00
_cell_angle_beta 60.00
_cell_angle_gamma 60.00
_symmetry_space_group_name_H-M 'P 1'
_symmetry_Int_Tables_number 1
loop_
_symmetry_equiv_pos_as_xyz
'x,y,z'
loop_
_atom_site_label
_atom_site_fract_x
_atom_site_fract_y
_atom_site_fract_z
As1 0.7500 0.7500 0.7500
As2 0.2500 0.2500 0.2500
Pm1 0.0000 0.0000 0.0000
Ru1 0.5000 0.5000 0.5000
```